Below is an optimized crystal structure of Ho6Tm2MgSc3, with properties calculated at the PBE-GGA level.

a = 5.962 Å, b = 10.325 Å, c = 11.289 Å
α = 90.00°, β = 100.17°, γ = 90.00°
Space group C2/m (No. 12)
Inequivalent atoms, fractional coordinates:
Ho 0.248 0.167 0.243 (multiplicity 8)
Ho 0.249 0.500 0.243 (multiplicity 4)
Tm 0.000 0.167 0.500 (multiplicity 4)
Mg 0.000 0.500 0.500 (multiplicity 2)
Sc 0.000 0.000 0.000 (multiplicity 2)
Sc 0.000 0.334 0.000 (multiplicity 4)

Uncorrected energy ... -4.703 eV per atom
Energy of formation ... 0.046 eV per atom